# 1
DFT (PBE) results for Y3Ni after structural relaxation.

a = 6.3368 Å, b = 6.3368 Å, c = 6.3368 Å
α = 146.97°, β = 130.38°, γ = 60.91°
Positions (direct):
Y 0.0000 0.0000 0.0000
Y 0.3057 0.8057 0.5000
Y 0.6943 0.1943 0.5000
Ni 0.5000 0.5000 0.0000

Formation energy: -145 meV/atom
Space-group type: Immm

---

# 2
DFT (PBE) results for SmZnPtRh after structural relaxation.

a = 4.6835 Å, b = 4.6835 Å, c = 4.6835 Å
α = 60.00°, β = 60.00°, γ = 60.00°
Positions (direct):
Sm 0.0000 0.0000 0.0000
Zn 0.5000 0.5000 0.5000
Pt 0.7500 0.7500 0.7500
Rh 0.2500 0.2500 0.2500

Formation energy: -648 meV/atom
Space-group type: F-43m

---

# 3
DFT (PBE) results for ScAlW2 after structural relaxation.

a = 5.3270 Å, b = 5.3270 Å, c = 5.3270 Å
α = 142.40°, β = 131.86°, γ = 62.63°
Positions (direct):
Sc 0.0000 0.0000 0.0000
Al 0.5000 0.5000 0.0000
W 0.2521 0.7521 0.5000
W 0.7479 0.2479 0.5000

Formation energy: 70 meV/atom
Space-group type: Immm

---

# 4
DFT (PBE) results for Pr2TlH3 after structural relaxation.

a = 7.9003 Å, b = 7.9003 Å, c = 8.0191 Å
α = 111.67°, β = 111.67°, γ = 28.57°
Positions (direct):
Pr 0.0315 0.0315 0.2872
Pr 0.2983 0.2983 0.3230
Pr 0.7017 0.7017 0.6770
Pr 0.9685 0.9685 0.7128
Tl 0.3795 0.3795 0.9695
Tl 0.6205 0.6205 0.0305
H 0.0973 0.0973 0.6234
H 0.1947 0.1947 0.4846
H 0.4286 0.4286 0.5709
H 0.5714 0.5714 0.4291
H 0.8053 0.8053 0.5154
H 0.9027 0.9027 0.3766

Space-group type: C2/m
Total energy: -4.137 eV/atom

---

# 5
DFT (PBE) results for KSrTa after structural relaxation.

a = 6.6474 Å, b = 6.6474 Å, c = 9.8083 Å
α = 102.88°, β = 102.88°, γ = 38.75°
Positions (direct):
K 0.0000 0.0000 0.0000
K 0.7113 0.7113 0.8572
Sr 0.3871 0.3871 0.5689
Sr 0.6252 0.6252 0.3390
Ta 0.3253 0.3253 0.2121
Ta 0.8958 0.8958 0.3108

Formation energy: 830 meV/atom
Space-group type: Cm
E above lowest polymorph: 430 meV per atom

---

# 6
DFT (PBE) results for Ba2DyIn12Pt3 after structural relaxation.

a = 8.8277 Å, b = 8.8277 Å, c = 8.8277 Å
α = 68.68°, β = 68.68°, γ = 68.68°
Positions (direct):
Ba 0.0893 0.0893 0.0893
Ba 0.9107 0.9107 0.9107
Dy 0.5000 0.5000 0.5000
In 0.1017 0.6478 0.6478
In 0.2166 0.2166 0.6146
In 0.2166 0.6146 0.2166
In 0.3522 0.3522 0.8983
In 0.3522 0.8983 0.3522
In 0.3854 0.7834 0.7834
In 0.6146 0.2166 0.2166
In 0.6478 0.1017 0.6478
In 0.6478 0.6478 0.1017
In 0.7834 0.3854 0.7834
In 0.7834 0.7834 0.3854
In 0.8983 0.3522 0.3522
Pt 0.0000 0.5000 0.5000
Pt 0.5000 0.0000 0.5000
Pt 0.5000 0.5000 0.0000

Formation energy: -157 meV/atom
Space-group type: R-3m

---

Number 5 is which compound? KSrTa